# 1
Computed, not measured: a geometry-optimized Al3Br4 structure at the GGA-PBE level of DFT.

The uncorrected formation energy comes out at -0.12 eV per formula unit. For the total energy, the calculation gives -18.04 eV for the cell shown. Its relative energy among the computed polymorphs is 254 meV per atom.

The structure belongs to space group P6/mmm (No. 191); the cell edges are 6.3176, 6.3176 and 5.2694 Å and the angles 90.00°, 90.00° and 120.00°. The distinct sites, in fractional coordinates, are Al at (0.0000, 0.5000, 0.0000), Br at (0.0000, 0.0000, 0.2520) and Br at (0.3333, 0.6667, 0.5000).

# 2
Computed, not measured: a geometry-optimized AlBr structure at the GGA-PBE level of DFT.

The uncorrected formation energy comes out at 0.29 eV per formula unit. For the total energy, the calculation gives -20.52 eV for the cell shown.

The structure belongs to space group P6_3/mmc (No. 194); the cell edges are 5.7373, 5.7373 and 8.1010 Å and the angles 90.00°, 90.00° and 120.00°. The distinct sites, in fractional coordinates, are Al at (0.3333, 0.6667, 0.0818), Br at (0.0000, 0.0000, 0.2500) and Br at (0.3333, 0.6667, 0.7500).

# 3
Computed, not measured: a geometry-optimized Al5Br3 structure at the GGA-PBE level of DFT.

The uncorrected formation energy comes out at -2.24 eV per formula unit. For the total energy, the calculation gives -103.87 eV for the cell shown. Its relative energy among the computed polymorphs is 0 meV per atom.

The structure belongs to space group Cm (No. 8); the cell edges are 4.911, 23.642 and 11.392 Å and the angles 90.00°, 102.25° and 90.00°. The distinct sites, in fractional coordinates, are Al at (0.000, 0.000, 0.000), Al at (0.002, 0.500, 0.000), Al at (0.159, 0.392, 0.812), Al at (0.163, 0.065, 0.821), Al at (0.315, 0.410, 0.129), Al at (0.342, 0.065, 0.185), Br at (0.075, 0.000, 0.644), Br at (0.078, 0.331, 0.648), Br at (0.249, 0.328, 0.996) and Br at (0.428, 0.000, 0.361).

# 4
Computed, not measured: a geometry-optimized Al5Br3 structure at the GGA-PBE level of DFT.

The uncorrected formation energy comes out at 0.38 eV per formula unit. For the total energy, the calculation gives -46.70 eV for the cell shown. Its relative energy among the computed polymorphs is 327 meV per atom.

The structure belongs to space group Cmmm (No. 65); the cell edges are 7.052, 9.203 and 5.589 Å and the angles 90.00°, 90.00° and 90.00°. The distinct sites, in fractional coordinates, are Al at (0.000, 0.000, 0.000), Al at (0.193, 0.000, 0.500), Al at (0.250, 0.250, 0.000), Br at (0.000, 0.298, 0.500) and Br at (0.000, 0.500, 0.000).

# 5
Computed, not measured: a geometry-optimized AlBr3 structure at the GGA-PBE level of DFT.

The uncorrected formation energy comes out at -1.12 eV per formula unit. For the total energy, the calculation gives -29.65 eV for the cell shown.

The structure belongs to space group R-3m (No. 166, hexagonal axes); the cell edges are 7.0261, 7.0261 and 10.7041 Å and the angles 90.00°, 90.00° and 120.00°. The distinct sites, in fractional coordinates, are Al at (0.0000, 0.0000, 0.0000), Br at (0.0000, 0.0000, 0.2077) and Br at (0.0000, 0.0000, 0.5000).

# 6
Computed, not measured: a geometry-optimized AlBr structure at the GGA-PBE level of DFT.

The uncorrected formation energy comes out at -0.36 eV per formula unit. For the total energy, the calculation gives -23.10 eV for the cell shown.

The structure belongs to space group Imma (No. 74); the cell edges are 3.552, 8.235 and 9.501 Å and the angles 90.00°, 90.00° and 90.00°. The distinct sites, in fractional coordinates, are Al at (0.000, 0.250, 0.149) and Br at (0.000, 0.250, 0.545).

# 7
Computed, not measured: a geometry-optimized Al4Br5 structure at the GGA-PBE level of DFT.

The uncorrected formation energy comes out at -2.01 eV per formula unit. For the total energy, the calculation gives -50.69 eV for the cell shown. Its relative energy among the computed polymorphs is 15 meV per atom.

The structure belongs to space group I4/mmm (No. 139); the cell edges are 8.454, 8.454 and 6.811 Å and the angles 90.00°, 90.00° and 90.00°. The distinct sites, in fractional coordinates, are Al at (0.000, 0.345, 0.000), Br at (0.000, 0.000, 0.000) and Br at (0.199, 0.199, 0.500).

# 8
Computed, not measured: a geometry-optimized AlBr2 structure at the GGA-PBE level of DFT.

The uncorrected formation energy comes out at -1.81 eV per formula unit. For the total energy, the calculation gives -17.81 eV for the cell shown. Its relative energy among the computed polymorphs is 269 meV per atom.

The structure belongs to space group P4_2/mnm (No. 136); the cell edges are 6.591, 6.591 and 3.845 Å and the angles 90.00°, 90.00° and 90.00°. The distinct sites, in fractional coordinates, are Al at (0.000, 0.000, 0.000) and Br at (0.211, 0.211, 0.500).

# 9
Computed, not measured: a geometry-optimized AlBr structure at the GGA-PBE level of DFT.

The uncorrected formation energy comes out at -0.91 eV per formula unit. For the total energy, the calculation gives -50.60 eV for the cell shown.

The structure belongs to space group P2_12_12_1 (No. 19); the cell edges are 7.811, 8.066 and 9.446 Å and the angles 90.00°, 90.00° and 90.00°. The distinct sites, in fractional coordinates, are Al at (0.163, 0.024, 0.244), Al at (0.226, 0.908, 0.995), Br at (0.036, 0.298, 0.155) and Br at (0.079, 0.321, 0.585).

# 10
Computed, not measured: a geometry-optimized AlBr structure at the GGA-PBE level of DFT.

The uncorrected formation energy comes out at -0.65 eV per formula unit. For the total energy, the calculation gives -24.24 eV for the cell shown.

The structure belongs to space group C2/m (No. 12); the cell edges are 14.448, 4.140 and 4.940 Å and the angles 90.00°, 108.40° and 90.00°. The distinct sites, in fractional coordinates, are Al at (0.228, 0.000, 0.314) and Br at (0.135, 0.500, 0.896).

# 11
Computed, not measured: a geometry-optimized AlBr3 structure at the GGA-PBE level of DFT.

The uncorrected formation energy comes out at 0.56 eV per formula unit. For the total energy, the calculation gives -24.60 eV for the cell shown.

The structure belongs to space group R-3m (No. 166, hexagonal axes); the cell edges are 8.9121, 8.9121 and 5.1487 Å and the angles 90.00°, 90.00° and 120.00°. The distinct sites, in fractional coordinates, are Al at (0.0000, 0.0000, 0.0000) and Br at (0.0000, 0.5000, 0.0000).

# 12
Computed, not measured: a geometry-optimized AlBr structure at the GGA-PBE level of DFT.

The uncorrected formation energy comes out at -0.23 eV per formula unit. For the total energy, the calculation gives -22.56 eV for the cell shown.

The structure belongs to space group Fm-3m (No. 225); the cell edges are 6.294, 6.294 and 6.294 Å and the angles 90.00°, 90.00° and 90.00°. The distinct sites, in fractional coordinates, are Al at (0.000, 0.000, 0.000) and Br at (0.000, 0.000, 0.500).

# 13
Computed, not measured: a geometry-optimized AlBr structure at the GGA-PBE level of DFT.

The uncorrected formation energy comes out at -0.14 eV per formula unit. For the total energy, the calculation gives -11.10 eV for the cell shown.

The structure belongs to space group P6_3/mmc (No. 194); the cell edges are 5.3642, 5.3642 and 6.2371 Å and the angles 90.00°, 90.00° and 120.00°. The distinct sites, in fractional coordinates, are Al at (0.3333, 0.6667, 0.2500) and Br at (0.3333, 0.6667, 0.7500).

# 14
Computed, not measured: a geometry-optimized AlBr structure at the GGA-PBE level of DFT.

The uncorrected formation energy comes out at -0.16 eV per formula unit. For the total energy, the calculation gives -5.58 eV for the cell shown.

The structure belongs to space group P-6m2 (No. 187); the cell edges are 4.0588, 4.0588 and 4.2007 Å and the angles 90.00°, 90.00° and 120.00°. The distinct sites, in fractional coordinates, are Al at (0.0000, 0.0000, 0.0000) and Br at (0.6667, 0.3333, 0.5000).

# 15
Computed, not measured: a geometry-optimized AlBr structure at the GGA-PBE level of DFT.

The uncorrected formation energy comes out at -0.23 eV per formula unit. For the total energy, the calculation gives -22.57 eV for the cell shown.

The structure belongs to space group P4_2/mnm (No. 136); the cell edges are 6.319, 6.319 and 6.326 Å and the angles 90.00°, 90.00° and 90.00°. The distinct sites, in fractional coordinates, are Al at (0.245, 0.245, 0.000) and Br at (0.229, 0.771, 0.000).

# 16
Computed, not measured: a geometry-optimized Al3Br5 structure at the GGA-PBE level of DFT.

The uncorrected formation energy comes out at -2.51 eV per formula unit. For the total energy, the calculation gives -44.21 eV for the cell shown. Its relative energy among the computed polymorphs is 0 meV per atom.

The structure belongs to space group P6_3/mcm (No. 193); the cell edges are 7.9529, 7.9529 and 7.8394 Å and the angles 90.00°, 90.00° and 120.00°. The distinct sites, in fractional coordinates, are Al at (0.0000, 0.4138, 0.2500), Br at (0.0000, 0.2488, 0.7500) and Br at (0.3333, 0.6667, 0.0000).

# 17
Computed, not measured: a geometry-optimized AlBr2 structure at the GGA-PBE level of DFT.

The uncorrected formation energy comes out at -1.83 eV per formula unit. For the total energy, the calculation gives -35.69 eV for the cell shown. Its relative energy among the computed polymorphs is 262 meV per atom.

The structure belongs to space group Cm (No. 8); the cell edges are 15.464, 3.422 and 8.399 Å and the angles 90.00°, 104.59° and 90.00°. The distinct sites, in fractional coordinates, are Al at (0.000, 0.000, 0.000), Al at (0.232, 0.000, 0.537), Br at (0.165, 0.500, 0.699), Br at (0.172, 0.500, 0.303), Br at (0.362, 0.500, 0.600) and Br at (0.394, 0.000, 0.083).

# 18
Computed, not measured: a geometry-optimized AlBr2 structure at the GGA-PBE level of DFT.

The uncorrected formation energy comes out at -1.91 eV per formula unit. For the total energy, the calculation gives -36.01 eV for the cell shown. Its relative energy among the computed polymorphs is 235 meV per atom.

The structure belongs to space group Cmcm (No. 63); the cell edges are 3.808, 24.096 and 4.867 Å and the angles 90.00°, 90.00° and 90.00°. The distinct sites, in fractional coordinates, are Al at (0.000, 0.149, 0.250), Br at (0.000, 0.181, 0.750) and Br at (0.000, 0.421, 0.750).

# 19
Computed, not measured: a geometry-optimized AlBr2 structure at the GGA-PBE level of DFT.

The uncorrected formation energy comes out at -1.82 eV per formula unit. For the total energy, the calculation gives -35.62 eV for the cell shown. Its relative energy among the computed polymorphs is 268 meV per atom.

The structure belongs to space group Pnma (No. 62); the cell edges are 13.144, 3.798 and 7.129 Å and the angles 90.00°, 90.00° and 90.00°. The distinct sites, in fractional coordinates, are Al at (0.133, 0.250, 0.038), Br at (0.009, 0.750, 0.218) and Br at (0.240, 0.750, 0.854).

# 20
Computed, not measured: a geometry-optimized AlBr structure at the GGA-PBE level of DFT.

The uncorrected formation energy comes out at -0.67 eV per formula unit. For the total energy, the calculation gives -24.34 eV for the cell shown.

The structure belongs to space group Cmme (No. 67); the cell edges are 3.585, 6.556 and 9.612 Å and the angles 90.00°, 90.00° and 90.00°. The distinct sites, in fractional coordinates, are Al at (0.000, 0.250, 0.098) and Br at (0.000, 0.250, 0.712).